[1]
# GGA-PBE RbNaAg2Se2, optimized geometry
# N(E_F) = 0.068 states/eV/atom
# formation energy from raw total energies = -644 meV per atom
# total DFT energy (no corrections) = -3.14 eV/atom
data_RbNaAg2Se2
_symmetry_space_group_name_H-M 'P -3 m 1'
_symmetry_Int_Tables_number 164
_symmetry_space_group_name_Hall '-P 3 2"'
_cell_length_a 4.5773
_cell_length_b 4.5773
_cell_length_c 8.8281
_cell_angle_alpha 90.00
_cell_angle_beta 90.00
_cell_angle_gamma 120.00
loop_
_atom_site_label
_atom_site_type_symbol
_atom_site_fract_x
_atom_site_fract_y
_atom_site_fract_z
_atom_site_occupancy
Rb1 Rb 0.0000 0.0000 0.0000 1
Na1 Na 0.0000 0.0000 0.5000 1
Ag1 Ag 0.3333 0.6667 0.6972 1
Se1 Se 0.3333 0.6667 0.2817 1



[2]
# GGA-PBE La8Co3SCl4, optimized geometry
# N(E_F) = 0.720 states/eV/atom
# formation energy from raw total energies = -1138 meV per atom
# total DFT energy (no corrections) = -5.65 eV/atom
data_La8Co3SCl4
_symmetry_space_group_name_H-M 'C 1 2/m 1'
_symmetry_Int_Tables_number 12
_cell_length_a 14.3738
_cell_length_b 8.1035
_cell_length_c 8.8032
_cell_angle_alpha 90.00
_cell_angle_beta 122.07
_cell_angle_gamma 90.00
loop_
_symmetry_equiv_pos_as_xyz
'x,y,z'
'-x,-y,-z'
'-x,y,-z'
'x,-y,z'
'x+1/2,y+1/2,z'
'-x+1/2,-y+1/2,-z'
'-x+1/2,y+1/2,-z'
'x+1/2,-y+1/2,z'
loop_
_atom_site_label
_atom_site_type_symbol
_atom_site_fract_x
_atom_site_fract_y
_atom_site_fract_z
_atom_site_occupancy
La1 La 0.0136 0.2387 0.2901 1
La2 La 0.2374 0.0000 0.7001 1
La3 La 0.2418 0.5000 0.7041 1
Co1 Co 0.0000 0.0000 0.5000 1
Co2 Co 0.2500 0.2500 0.5000 1
S1 S 0.0000 0.5000 0.5000 1
Cl1 Cl 0.0000 0.0000 0.0000 1
Cl2 Cl 0.0000 0.5000 0.0000 1
Cl3 Cl 0.2500 0.2500 0.0000 1



[3]
# GGA-PBE LiLaDy2, optimized geometry
# DFT formation energy = 0.5 eV/f.u.
# N(E_F) = 1.323 states/eV/atom
# energy relative to the lowest polymorph listed for this composition = 50.2 meV per atom
# total DFT energy (no corrections) = -3.88 eV/atom
data_LiLaDy2
_symmetry_space_group_name_H-M 'R 3 m'
_symmetry_Int_Tables_number 160
_symmetry_space_group_name_Hall 'R 3 -2"'
_cell_length_a 3.5327
_cell_length_b 3.5327
_cell_length_c 34.2772
_cell_angle_alpha 90.00
_cell_angle_beta 90.00
_cell_angle_gamma 120.00
loop_
_atom_site_label
_atom_site_type_symbol
_atom_site_fract_x
_atom_site_fract_y
_atom_site_fract_z
_atom_site_occupancy
Li1 Li 0.0000 0.0000 0.0000 1
La1 La 0.0000 0.0000 0.1667 1
Dy1 Dy 0.0000 0.0000 0.4113 1
Dy2 Dy 0.0000 0.0000 0.5883 1



[4]
# GGA-PBE LiPm8In2, optimized geometry
# DFT formation energy = -1.4 eV/f.u.
# N(E_F) = 0.997 states/eV/atom
# total DFT energy (no corrections) = -4.26 eV/atom
data_LiPm8In2
_symmetry_space_group_name_H-M 'C 1 2/m 1'
_symmetry_Int_Tables_number 12
_cell_length_a 18.2886
_cell_length_b 5.3580
_cell_length_c 7.1072
_cell_angle_alpha 90.00
_cell_angle_beta 99.81
_cell_angle_gamma 90.00
loop_
_symmetry_equiv_pos_as_xyz
'x,y,z'
'-x,-y,-z'
'-x,y,-z'
'x,-y,z'
'x+1/2,y+1/2,z'
'-x+1/2,-y+1/2,-z'
'-x+1/2,y+1/2,-z'
'x+1/2,-y+1/2,z'
loop_
_atom_site_label
_atom_site_type_symbol
_atom_site_fract_x
_atom_site_fract_y
_atom_site_fract_z
_atom_site_occupancy
Li1 Li 0.0000 0.0000 0.0000 1
Pm1 Pm 0.0257 0.5000 0.7511 1
Pm2 Pm 0.0949 0.0000 0.4555 1
Pm3 Pm 0.1576 0.0000 0.9445 1
Pm4 Pm 0.1878 0.5000 0.2685 1
In1 In 0.2019 0.5000 0.7245 1



[5]
# GGA-PBE HfScCo2, optimized geometry
# DFT formation energy = -1.6 eV/f.u.
# N(E_F) = 0.492 states/eV/atom
# energy relative to the lowest polymorph listed for this composition = 8.1 meV per atom
# total DFT energy (no corrections) = -8.02 eV/atom
data_HfScCo2
_symmetry_space_group_name_H-M 'F m -3 m'
_symmetry_Int_Tables_number 225
_symmetry_space_group_name_Hall '-F 4 2 3'
_cell_length_a 6.2802
_cell_length_b 6.2802
_cell_length_c 6.2802
_cell_angle_alpha 90.00
_cell_angle_beta 90.00
_cell_angle_gamma 90.00
loop_
_atom_site_label
_atom_site_type_symbol
_atom_site_fract_x
_atom_site_fract_y
_atom_site_fract_z
_atom_site_occupancy
Hf1 Hf 0.0000 0.0000 0.0000 1
Sc1 Sc 0.0000 0.0000 0.5000 1
Co1 Co 0.2500 0.2500 0.2500 1



[6]
# GGA-PBE NdErGaPb, optimized geometry
# DFT formation energy = -1.7 eV/f.u.
# N(E_F) = 0.658 states/eV/atom
# total DFT energy (no corrections) = -4.44 eV/atom
data_NdErGaPb
_symmetry_space_group_name_H-M 'F -4 3 m'
_symmetry_Int_Tables_number 216
_symmetry_space_group_name_Hall 'F -4 2 3'
_cell_length_a 7.5434
_cell_length_b 7.5434
_cell_length_c 7.5434
_cell_angle_alpha 90.00
_cell_angle_beta 90.00
_cell_angle_gamma 90.00
loop_
_atom_site_label
_atom_site_type_symbol
_atom_site_fract_x
_atom_site_fract_y
_atom_site_fract_z
_atom_site_occupancy
Nd1 Nd 0.0000 0.0000 0.0000 1
Er1 Er 0.0000 0.0000 0.5000 1
Ga1 Ga 0.2500 0.2500 0.7500 1
Pb1 Pb 0.2500 0.2500 0.2500 1



[7]
# GGA-PBE Pm6CdGe2, optimized geometry
# DFT formation energy = -4.3 eV/f.u.
# N(E_F) = 0.878 states/eV/atom
# energy relative to the lowest polymorph listed for this composition = 0.0 meV per atom
# total DFT energy (no corrections) = -4.78 eV/atom
data_Pm6CdGe2
_symmetry_space_group_name_H-M 'I m m m'
_symmetry_Int_Tables_number 71
_symmetry_space_group_name_Hall '-I 2 2'
_cell_length_a 9.9476
_cell_length_b 10.0511
_cell_length_c 10.5333
_cell_angle_alpha 90.00
_cell_angle_beta 90.00
_cell_angle_gamma 90.00
loop_
_atom_site_label
_atom_site_type_symbol
_atom_site_fract_x
_atom_site_fract_y
_atom_site_fract_z
_atom_site_occupancy
Pm1 Pm 0.0000 0.1995 0.2490 1
Pm2 Pm 0.2032 0.5000 0.3271 1
Pm3 Pm 0.2266 0.3225 0.0000 1
Cd1 Cd 0.0000 0.0000 0.0000 1
Cd2 Cd 0.0000 0.0000 0.5000 1
Ge1 Ge 0.0000 0.3462 0.5000 1
Ge2 Ge 0.0000 0.5000 0.1204 1



[8]
# GGA-PBE BeRu3Au, optimized geometry
# DFT formation energy = 3.1 eV/f.u.
# N(E_F) = 1.075 states/eV/atom
# energy relative to the lowest polymorph listed for this composition = 0.0 meV per atom
# total DFT energy (no corrections) = -6.35 eV/atom
data_BeRu3Au
_symmetry_space_group_name_H-M 'P m -3 m'
_symmetry_Int_Tables_number 221
_symmetry_space_group_name_Hall '-P 4 2 3'
_cell_length_a 4.1391
_cell_length_b 4.1391
_cell_length_c 4.1391
_cell_angle_alpha 90.00
_cell_angle_beta 90.00
_cell_angle_gamma 90.00
loop_
_atom_site_label
_atom_site_type_symbol
_atom_site_fract_x
_atom_site_fract_y
_atom_site_fract_z
_atom_site_occupancy
Be1 Be 0.0000 0.0000 0.0000 1
Ru1 Ru 0.0000 0.0000 0.5000 1
Au1 Au 0.5000 0.5000 0.5000 1



What is the N(E_F) in the fifth record?
0.492 states/eV/atom



The highest total DFT energy (no corrections) belongs to which entry?
RbNaAg2Se2



Number 3 is which compound?
LiLaDy2